Record 1
! GGA-PBE Ba2P2HRh2, optimized geometry; values from VASP
&SYSTEM
  ibrav = 0, nat = 7, ntyp = 4
/
ATOMIC_SPECIES
Ba 137.33 Ba.upf
P 30.97 P.upf
H 1.01 H.upf
Rh 102.91 Rh.upf
CELL_PARAMETERS angstrom
5.7958 -2.0661 0.0000
5.7958 2.0661 0.0000
-4.2062 0.0000 6.1393
ATOMIC_POSITIONS crystal
Ba 0.0545 0.0545 0.3146
Ba 0.9455 0.9455 0.6854
P 0.2939 0.2939 0.2347
P 0.7061 0.7061 0.7653
H 0.5000 0.5000 0.0000
Rh 0.3011 0.3011 0.9254
Rh 0.6989 0.6989 0.0746
! electronic total energy	-5.479	eV per atom
! Fermi-level density of states	3.14	states/eV/cell

=====

Record 2
! GGA-PBE BaPHRu, optimized geometry; values from VASP
&SYSTEM
  ibrav = 0, nat = 8, ntyp = 4
/
ATOMIC_SPECIES
Ba 137.33 Ba.upf
P 30.97 P.upf
H 1.01 H.upf
Ru 101.07 Ru.upf
CELL_PARAMETERS angstrom
4.1009 0.0000 0.0000
0.0000 4.1009 0.0000
0.0000 0.0000 9.3414
ATOMIC_POSITIONS crystal
Ba 0.2500 0.2500 0.1730
Ba 0.7500 0.7500 0.8270
P 0.2500 0.2500 0.6226
P 0.7500 0.7500 0.3774
H 0.2500 0.7500 0.0000
H 0.7500 0.2500 0.0000
Ru 0.2500 0.7500 0.5000
Ru 0.7500 0.2500 0.5000
! electronic total energy	-5.768	eV per atom
! Fermi-level density of states	2.47	states/eV/cell

=====

Record 3
! GGA-PBE BaPH2Ru2, optimized geometry; values from VASP
&SYSTEM
  ibrav = 0, nat = 12, ntyp = 4
/
ATOMIC_SPECIES
Ba 137.33 Ba.upf
P 30.97 P.upf
H 1.01 H.upf
Ru 101.07 Ru.upf
CELL_PARAMETERS angstrom
6.5080 0.0000 0.0000
0.0000 5.4397 0.0000
-2.0389 0.0000 6.1986
ATOMIC_POSITIONS crystal
Ba 0.1986 0.2500 0.3003
Ba 0.8014 0.7500 0.6997
P 0.3754 0.7500 0.1216
P 0.6246 0.2500 0.8784
H 0.1343 0.2500 0.7313
H 0.2349 0.7500 0.6326
H 0.7651 0.2500 0.3674
H 0.8657 0.7500 0.2687
Ru 0.3233 0.0000 0.8218
Ru 0.3233 0.5000 0.8218
Ru 0.6767 0.0000 0.1782
Ru 0.6767 0.5000 0.1782
! electronic total energy	-5.684	eV per atom
! Fermi-level density of states	6.06	states/eV/cell

=====

Record 4
! GGA-PBE BaP2HS, optimized geometry; values from VASP
&SYSTEM
  ibrav = 0, nat = 5, ntyp = 4
/
ATOMIC_SPECIES
Ba 137.33 Ba.upf
P 30.97 P.upf
H 1.01 H.upf
S 32.06 S.upf
CELL_PARAMETERS angstrom
6.7463 0.0000 0.0000
0.0000 6.7463 0.0000
0.0000 0.0000 5.9525
ATOMIC_POSITIONS crystal
Ba 0.0000 0.0000 0.0000
P 0.0000 0.5000 0.0000
P 0.5000 0.0000 0.0000
H 0.5000 0.5000 0.5000
S 0.0000 0.0000 0.5000
! Fermi-level density of states	7.40	states/eV/cell
! relative energy among the computed polymorphs	1241	meV/atom

=====

Record 5
! GGA-PBE BaP2HS, optimized geometry; values from VASP
&SYSTEM
  ibrav = 0, nat = 5, ntyp = 4
/
ATOMIC_SPECIES
Ba 137.33 Ba.upf
P 30.97 P.upf
H 1.01 H.upf
S 32.06 S.upf
CELL_PARAMETERS angstrom
4.1380 0.0000 0.0000
0.0000 4.1380 0.0000
0.0000 0.0000 5.8932
ATOMIC_POSITIONS crystal
Ba 0.0000 0.0000 0.0000
P 0.0000 0.5000 0.5000
P 0.5000 0.0000 0.5000
H 0.5000 0.5000 0.5000
S 0.5000 0.5000 0.0000
! Fermi-level density of states	4.24	states/eV/cell
! relative energy among the computed polymorphs	0	meV/atom

=====

Record 6
! GGA-PBE Ba6P2H3S, optimized geometry; values from VASP
&SYSTEM
  ibrav = 0, nat = 12, ntyp = 4
/
ATOMIC_SPECIES
Ba 137.33 Ba.upf
P 30.97 P.upf
H 1.01 H.upf
S 32.06 S.upf
CELL_PARAMETERS angstrom
9.5480 -2.2686 0.0000
9.5480 2.2686 0.0000
-1.5392 0.0000 8.5900
ATOMIC_POSITIONS crystal
Ba 0.0004 0.0004 0.2491
Ba 0.9996 0.9996 0.7509
Ba 0.3320 0.3320 0.4164
Ba 0.3325 0.3325 0.9192
Ba 0.6675 0.6675 0.0808
Ba 0.6680 0.6680 0.5836
P 0.1639 0.1639 0.8282
P 0.8361 0.8361 0.1718
H 0.1654 0.1654 0.3372
H 0.5000 0.5000 0.0000
H 0.8346 0.8346 0.6628
S 0.5000 0.5000 0.5000
! electronic total energy	-3.943	eV per atom
! Fermi-level density of states	5.06	states/eV/cell

=====

Record 7
! GGA-PBE Ba6Sb2PH, optimized geometry; values from VASP
&SYSTEM
  ibrav = 0, nat = 20, ntyp = 4
/
ATOMIC_SPECIES
Ba 137.33 Ba.upf
Sb 121.76 Sb.upf
P 30.97 P.upf
H 1.01 H.upf
CELL_PARAMETERS angstrom
7.8184 0.0000 0.0000
0.0000 9.2827 0.0000
-7.6444 0.0000 11.1673
ATOMIC_POSITIONS crystal
Ba 0.1084 0.1734 0.4385
Ba 0.1084 0.3266 0.9385
Ba 0.2810 0.6947 0.4444
Ba 0.2810 0.8053 0.9444
Ba 0.3625 0.0373 0.2384
Ba 0.3625 0.4627 0.7384
Ba 0.6375 0.5373 0.2616
Ba 0.6375 0.9627 0.7616
Ba 0.7190 0.1947 0.0556
Ba 0.7190 0.3053 0.5556
Ba 0.8916 0.6734 0.0615
Ba 0.8916 0.8266 0.5615
Sb 0.2010 0.1098 0.7544
Sb 0.2010 0.3902 0.2544
Sb 0.7990 0.6098 0.7456
Sb 0.7990 0.8902 0.2456
P 0.5000 0.0000 0.5000
P 0.5000 0.5000 0.0000
H 0.0000 0.0000 0.0000
H 0.0000 0.5000 0.5000
! electronic total energy	-3.674	eV per atom
! Fermi-level density of states	5.99	states/eV/cell

=====

Record 8
! GGA-PBE BaScPH2, optimized geometry; values from VASP
&SYSTEM
  ibrav = 0, nat = 10, ntyp = 4
/
ATOMIC_SPECIES
Ba 137.33 Ba.upf
Sc 44.96 Sc.upf
P 30.97 P.upf
H 1.01 H.upf
CELL_PARAMETERS angstrom
1.9411 -6.2864 0.0000
1.9411 6.2864 0.0000
0.0000 0.0000 7.3861
ATOMIC_POSITIONS crystal
Ba 0.2328 0.7672 0.7500
Ba 0.7672 0.2328 0.2500
Sc 0.5000 0.5000 0.0000
Sc 0.5000 0.5000 0.5000
P 0.0367 0.9633 0.2500
P 0.9633 0.0367 0.7500
H 0.3415 0.6585 0.0530
H 0.3415 0.6585 0.4470
H 0.6585 0.3415 0.5530
H 0.6585 0.3415 0.9470
! electronic total energy	-4.961	eV per atom
! Fermi-level density of states	0.62	states/eV/cell

=====

Record 9
! GGA-PBE BaSiP2H, optimized geometry; values from VASP
&SYSTEM
  ibrav = 0, nat = 5, ntyp = 4
/
ATOMIC_SPECIES
Ba 137.33 Ba.upf
Si 28.09 Si.upf
P 30.97 P.upf
H 1.01 H.upf
CELL_PARAMETERS angstrom
4.6269 0.0000 0.0000
0.0000 4.6269 0.0000
0.0000 0.0000 4.3200
ATOMIC_POSITIONS crystal
Ba 0.0000 0.0000 0.0000
Si 0.5000 0.5000 0.0000
P 0.0000 0.5000 0.5000
P 0.5000 0.0000 0.5000
H 0.5000 0.5000 0.5000
! electronic total energy	-3.958	eV per atom
! Fermi-level density of states	1.89	states/eV/cell

=====

Record 10
! GGA-PBE BaSrPH, optimized geometry; values from VASP
&SYSTEM
  ibrav = 0, nat = 4, ntyp = 4
/
ATOMIC_SPECIES
Ba 137.33 Ba.upf
Sr 87.62 Sr.upf
P 30.97 P.upf
H 1.01 H.upf
CELL_PARAMETERS angstrom
0.0000 3.7117 3.7117
3.7117 0.0000 3.7117
3.7117 3.7117 0.0000
ATOMIC_POSITIONS crystal
Ba 0.0000 0.0000 0.0000
Sr 0.5000 0.5000 0.5000
P 0.7500 0.7500 0.7500
H 0.2500 0.2500 0.2500
! relative energy among the computed polymorphs	77	meV/atom

=====

Record 11
! GGA-PBE Ba2Sr4P3H2, optimized geometry; values from VASP
&SYSTEM
  ibrav = 0, nat = 11, ntyp = 4
/
ATOMIC_SPECIES
Ba 137.33 Ba.upf
Sr 87.62 Sr.upf
P 30.97 P.upf
H 1.01 H.upf
CELL_PARAMETERS angstrom
-2.4557 2.4557 12.4750
2.4557 -2.4557 12.4750
2.4557 2.4557 -12.4750
ATOMIC_POSITIONS crystal
Ba 0.2048 0.2048 0.0000
Ba 0.7952 0.7952 0.0000
Sr 0.0782 0.5782 0.5000
Sr 0.4218 0.9218 0.5000
Sr 0.5782 0.0782 0.5000
Sr 0.9218 0.4218 0.5000
P 0.3358 0.3358 0.0000
P 0.5000 0.5000 0.0000
P 0.6642 0.6642 0.0000
H 0.0929 0.0929 0.0000
H 0.9071 0.9071 0.0000
! electronic total energy	-3.876	eV per atom
! Fermi-level density of states	2.29	states/eV/cell

=====

Record 12
! GGA-PBE BaSrPH, optimized geometry; values from VASP
&SYSTEM
  ibrav = 0, nat = 4, ntyp = 4
/
ATOMIC_SPECIES
Ba 137.33 Ba.upf
Sr 87.62 Sr.upf
P 30.97 P.upf
H 1.01 H.upf
CELL_PARAMETERS angstrom
4.3834 0.0000 0.0000
0.0000 5.0804 0.0000
-2.1746 0.0000 5.0027
ATOMIC_POSITIONS crystal
Ba 0.0000 0.0000 0.0000
Sr 0.2761 0.5000 0.5502
P 0.5768 0.5000 0.1491
H 0.2984 0.0000 0.5971
! relative energy among the computed polymorphs	0	meV/atom

=====

Which volume belongs to each record? In order, 21.0, 19.6, 18.3, 54.2, 20.2, 31.0, 40.5, 18.0, 18.5, 25.6, 27.4, 27.9 A^3/atom.
Which spin magnetization belongs to each record? In order, 0.00, 0.00, 1.34, 7.01, 0.00, 0.00, 2.04, 0.00, 0.00, 0.00, 0.00, 0.00 μB per formula unit.